# CsTiMnOF5 PBE with a Hubbard U relaxed
# electronic total energy = -6.4219 eV/atom
data_CsTiMnOF5
_cell_length_a 7.522
_cell_length_b 7.569
_cell_length_c 7.569
_cell_angle_alpha 60.45
_cell_angle_beta 119.79
_cell_angle_gamma 119.79
_symmetry_space_group_name_H-M 'P 1'
_symmetry_Int_Tables_number 1
loop_
_symmetry_equiv_pos_as_xyz
'x,y,z'
loop_
_atom_site_label
_atom_site_type_symbol
_atom_site_fract_x
_atom_site_fract_y
_atom_site_fract_z
Cs1 Cs 0.111 0.367 0.367
Cs2 Cs 0.877 0.633 0.633
Ti1 Ti 0.984 0.004 0.004
Ti2 Ti 0.477 0.996 0.996
Mn1 Mn 0.503 0.500 0.000
Mn2 Mn 0.503 0.000 0.500
O1 O 0.786 0.032 0.032
O2 O 0.222 0.968 0.968
F1 F 0.587 0.332 0.332
F2 F 0.423 0.668 0.668
F3 F 0.845 0.693 0.054
F4 F 0.408 0.691 0.055
F5 F 0.845 0.054 0.693
F6 F 0.598 0.946 0.307
F7 F 0.408 0.055 0.691
F8 F 0.598 0.307 0.946
F9 F 0.162 0.945 0.309
F10 F 0.162 0.309 0.945